Record 1
Compound: CaSmGa2
Source: Alexandria via LeMat-Bulk
Functional: PBE-GGA
Structure: optimized geometry

Results
- N(E_F): 3.72 states/eV per cell
- E_form: -526 meV/atom

Structure (CIF):
```
data_CaSmGa2
_chemical_formula_sum 'Ca1 Sm1 Ga2'
_cell_length_a 4.404
_cell_length_b 4.198
_cell_length_c 6.030
_cell_angle_alpha 90.00
_cell_angle_beta 111.44
_cell_angle_gamma 90.00
_space_group_name_H-M_alt 'P 1'
_space_group_IT_number 1
loop_
_space_group_symop_operation_xyz
'x,y,z'
loop_
_atom_site_label
_atom_site_fract_x
_atom_site_fract_y
_atom_site_fract_z
Ca1 0.441 0.500 0.421
Sm1 0.723 0.000 0.984
Ga1 0.156 0.500 0.852
Ga2 0.011 0.000 0.562
```


Record 2
Compound: Li6Ga12Au
Source: Alexandria via LeMat-Bulk
Functional: PBE-GGA
Structure: optimized geometry

Results
- N(E_F): 5.21 states/eV per cell
- E_form: -216 meV/atom

Structure (CIF):
```
data_Li6Ga12Au
_chemical_formula_sum 'Li6 Ga12 Au1'
_cell_length_a 6.866
_cell_length_b 6.866
_cell_length_c 6.866
_cell_angle_alpha 92.24
_cell_angle_beta 92.24
_cell_angle_gamma 92.24
_space_group_name_H-M_alt 'P 1'
_space_group_IT_number 1
loop_
_space_group_symop_operation_xyz
'x,y,z'
loop_
_atom_site_label
_atom_site_fract_x
_atom_site_fract_y
_atom_site_fract_z
Li1 0.884 0.724 0.268
Li2 0.732 0.116 0.276
Li3 0.276 0.732 0.116
Li4 0.116 0.276 0.732
Li5 0.268 0.884 0.724
Li6 0.724 0.268 0.884
Ga1 0.790 0.448 0.539
Ga2 0.539 0.790 0.448
Ga3 0.448 0.539 0.790
Ga4 0.210 0.552 0.461
Ga5 0.461 0.210 0.552
Ga6 0.552 0.461 0.210
Ga7 0.146 0.034 0.375
Ga8 0.966 0.625 0.854
Ga9 0.625 0.854 0.966
Ga10 0.854 0.966 0.625
Ga11 0.034 0.375 0.146
Ga12 0.375 0.146 0.034
Au1 0.000 0.000 0.000
```